## La2GaHg (PBE)

Data for an optimized crystal structure of La2GaHg.

POSCAR file:
```
La2GaHg
1.0
3.909 0.000 0.000
1.955 3.385 0.000
1.955 1.128 9.363
Hg La Ga
1 2 1
direct
0.500 0.500 0.500
0.255 0.255 0.234
0.745 0.745 0.766
0.000 0.000 0.000
```

Properties
* formation enthalpy at 0 K: -1.4 eV per formula unit
* E_tot: -3.649 eV per atom



## LaGaHg3 (PBE)

Data for an optimized crystal structure of LaGaHg3.

POSCAR file:
```
LaGaHg3
1.0
4.582 0.529 -0.001
-0.529 4.582 -0.001
-2.030 -2.560 5.865
Hg Ga La
3 1 1
direct
0.160 0.657 0.317
0.657 0.160 0.317
0.002 0.002 0.009
0.788 0.788 0.571
0.390 0.390 0.781
```

Properties
* formation enthalpy at 0 K: -1.6 eV per formula unit
* E_tot: -2.091 eV per atom



## La3Ga3Hg2 (PBE)

Data for an optimized crystal structure of La3Ga3Hg2.

POSCAR file:
```
La3Ga3Hg2
1.0
-2.962 -1.055 3.527
4.263 -4.276 -0.863
9.356 7.302 10.041
La Hg Ga
6 4 6
direct
0.642 0.284 0.250
0.091 0.182 0.610
0.909 0.818 0.390
0.909 0.818 0.110
0.358 0.716 0.750
0.091 0.182 0.890
0.793 0.586 0.597
0.207 0.414 0.097
0.793 0.586 0.903
0.207 0.414 0.403
0.645 0.290 0.750
0.355 0.710 0.250
0.399 0.798 0.542
0.601 0.202 0.458
0.601 0.202 0.042
0.399 0.798 0.958
```

Properties
* formation enthalpy at 0 K: -4.5 eV per formula unit
* E_tot: -3.627 eV per atom



## La6GaHg (PBE)

Data for an optimized crystal structure of La6GaHg.

POSCAR file:
```
La6GaHg
1.0
-7.451 0.851 -4.062
-6.790 -4.698 -2.661
-4.200 0.122 3.947
Ga La Hg
1 6 1
direct
0.500 0.500 0.500
0.239 0.309 0.690
0.761 0.691 0.310
0.116 0.109 0.390
0.615 0.611 0.891
0.884 0.891 0.610
0.385 0.389 0.109
0.000 0.000 0.000
```

Properties
* formation enthalpy at 0 K: -1.9 eV per formula unit
* E_tot: -4.355 eV per atom